Entry 1:
A relaxed structure of CaAlRe. Source: the Alexandria database, functional PBEsol.

```
data_CaAlRe
_chemical_formula_sum 'Ca1 Al1 Re1'
_symmetry_space_group_name_H-M 'P 1'
_symmetry_Int_Tables_number 1
_symmetry_space_group_name_Hall 'P 1'
_cell_length_a 4.465
_cell_length_b 4.465
_cell_length_c 4.465
_cell_angle_alpha 60.00
_cell_angle_beta 60.00
_cell_angle_gamma 60.00
loop_
_atom_site_label
_atom_site_fract_x
_atom_site_fract_y
_atom_site_fract_z
Ca1 0.000 0.000 0.000
Al1 0.250 0.250 0.250
Re1 0.500 0.500 0.500
```

Its polymorph energy (0 for the lowest one) is 0.678 eV/atom. The total energy comes out at -5.590 eV per atom.

Entry 2:
A relaxed structure of CaAlRh2. Source: the Alexandria database, functional PBEsol.

```
data_CaAlRh2
_chemical_formula_sum 'Ca1 Al1 Rh2'
_symmetry_space_group_name_H-M 'P 1'
_symmetry_Int_Tables_number 1
_symmetry_space_group_name_Hall 'P 1'
_cell_length_a 3.087
_cell_length_b 3.087
_cell_length_c 6.635
_cell_angle_alpha 90.00
_cell_angle_beta 90.00
_cell_angle_gamma 90.00
loop_
_atom_site_label
_atom_site_fract_x
_atom_site_fract_y
_atom_site_fract_z
Ca1 0.000 0.000 0.000
Al1 0.000 0.000 0.500
Rh1 0.500 0.500 0.291
Rh2 0.500 0.500 0.709
```

The total energy comes out at -6.243 eV per atom.